Record 1
First-principles (GGA-PBE) data for crystalline ThC2 at its relaxed geometry, as listed in the Open Quantum Materials Database.

## Properties
Its electronic total energy is -0.4601 Ry per atom. The magnetic moment is 1.0 μB per formula unit. Its volume is 1117 Å³ per cell.

abc: 10.3745 10.3745 10.3745
angles: 90.00 90.00 90.00
With the nearest neighbours (Å) after each atom.
Space group Fd-3m (No. 227, origin choice 2)
Symmetry-distinct sites (fractional):
Th 0.1250 0.1250 0.1250 x8  4 C 2.25
C 0.0000 0.0000 0.0000 x16  2 Th 2.25

---

Record 2
First-principles (GGA-PBE) data for crystalline Th2C3 at its relaxed geometry, as listed in the Open Quantum Materials Database.

## Properties
Its electronic total energy is -0.6443 Ry per atom. The magnetic moment is 0.0 μB per formula unit. Its volume is 625 Å³ per cell.

abc: 8.5489 8.5489 8.5489
angles: 90.00 90.00 90.00
With the nearest neighbours (Å) after each atom.
Space group I-43d (No. 220)
Symmetry-distinct sites (fractional):
Th 0.0478 0.0478 0.0478 x16  6 C 2.58-2.74
C 0.0000 0.2500 0.2923 x24  1 C 1.41

---

Record 3
First-principles (GGA-PBE) data for crystalline ThC at its relaxed geometry, as listed in the Open Quantum Materials Database.

## Properties
As for the energy above the most stable polymorph in this dataset: 12.5 kJ/mol of atoms. Its electronic total energy is -0.6222 Ry per atom. The magnetic moment is 0.0 μB per formula unit. Its volume is 90 Å³ per cell.

abc: 4.2161 4.2161 5.8346
angles: 90.00 90.00 120.00
With the nearest neighbours (Å) after each atom.
Space group P6_3mc (No. 186)
Symmetry-distinct sites (fractional):
Th 0.3333 0.6667 0.0000 x2  4 C 2.47-2.50
C 0.3333 0.6667 0.5716 x2  4 Th 2.47-2.50

---

Record 4
First-principles (GGA-PBE) data for crystalline Th2TlC at its relaxed geometry, as listed in the Open Quantum Materials Database.

## Properties
Its electronic total energy is -0.5079 Ry per atom. The magnetic moment is 0.0 μB per formula unit. Its volume is 305 Å³ per cell.

abc: 3.7383 3.7383 25.2519
angles: 90.00 90.00 120.00
With the nearest neighbours (Å) after each atom.
Space group R-3m (No. 166, hexagonal axes)
Symmetry-distinct sites (fractional):
Th 0.0000 0.0000 0.2237 x6  3 C 2.59
Tl 0.0000 0.0000 0.0000 x3  6 Th 3.51, 6 Tl 3.74
C 0.0000 0.0000 0.5000 x3  6 Th 2.59

---

Record 5
First-principles (GGA-PBE) data for crystalline TmTh5C4 at its relaxed geometry, as listed in the Open Quantum Materials Database.

## Properties
Its electronic total energy is -0.5972 Ry per atom. The magnetic moment is 0.0 μB per formula unit. Its volume is 429 Å³ per cell.

abc: 16.0540 3.6614 7.4773
angles: 90.00 102.62 90.00
With the nearest neighbours (Å) after each atom.
Space group C2/m (No. 12)
Symmetry-distinct sites (fractional):
Tm 0.0000 0.0000 0.0000 x2  6 C 2.59-2.60
Th 0.0000 0.0000 0.5000 x2  4 C 2.63
Th 0.1579 0.5000 0.3082 x4  3 C 2.44-2.52
Th 0.1621 0.5000 0.8413 x4  4 C 2.55-2.70
C 0.0026 0.5000 0.2486 x4  4 Th 2.44-2.63, 2 Tm 2.60
C 0.1654 0.0000 0.0798 x4  5 Th 2.52-2.70, 1 Tm 2.59

---

Record 6
First-principles (GGA-PBE) data for crystalline YTh5C4 at its relaxed geometry, as listed in the Open Quantum Materials Database.

## Properties
Its electronic total energy is -0.6112 Ry per atom. The magnetic moment is 0.0 μB per formula unit. Its volume is 434 Å³ per cell.

abc: 16.1029 3.6783 7.5175
angles: 90.00 102.70 90.00
With the nearest neighbours (Å) after each atom.
Space group C2/m (No. 12)
Symmetry-distinct sites (fractional):
Y 0.0000 0.0000 0.0000 x2  6 C 2.63-2.64
Th 0.0000 0.0000 0.5000 x2  4 C 2.62
Th 0.1588 0.5000 0.3082 x4  3 C 2.45-2.53
Th 0.1624 0.5000 0.8424 x4  4 C 2.56-2.68
C 0.0031 0.5000 0.2539 x4  4 Th 2.45-2.62, 2 Y 2.64
C 0.1673 0.0000 0.0812 x4  5 Th 2.53-2.68, 1 Y 2.63

---

Record 7
First-principles (GGA-PBE) data for crystalline Th3ZnC at its relaxed geometry, as listed in the Open Quantum Materials Database.

## Properties
Its electronic total energy is -0.4913 Ry per atom. The magnetic moment is 0.0 μB per formula unit. Its volume is 128 Å³ per cell.

abc: 5.0350 5.0350 5.0350
angles: 90.00 90.00 90.00
With the nearest neighbours (Å) after each atom.
Space group Pm-3m (No. 221)
Symmetry-distinct sites (fractional):
Th 0.0000 0.0000 0.5000 x3  2 C 2.52
Zn 0.5000 0.5000 0.5000 x1  12 Th 3.56
C 0.0000 0.0000 0.0000 x1  6 Th 2.52

---

Record 8
First-principles (GGA-PBE) data for crystalline Tm4TlZnC2 at its relaxed geometry, as listed in the Open Quantum Materials Database.

## Properties
Its electronic total energy is -0.3927 Ry per atom. The magnetic moment is 1.1 μB per formula unit. Its volume is 169 Å³ per cell.

abc: 3.5553 3.5553 15.4575
angles: 90.00 90.00 120.00
With the nearest neighbours (Å) after each atom.
Space group P-6m2 (No. 187)
Symmetry-distinct sites (fractional):
Tm 0.0000 0.0000 0.1564 x2  3 C 2.44
Tm 0.6667 0.3333 0.3275 x2  3 C 2.45
Tl 0.0000 0.0000 0.5000 x1  6 Tm 3.37, 6 Tl 3.56
Zn 0.6667 0.3333 0.0000 x1  6 Tm 3.17
C 0.3333 0.6667 0.2415 x2  6 Tm 2.44-2.45